Record 1
LaCd2W | PBE-GGA | relaxed

abc: 5.100 5.100 5.100
angles: 60.00 60.00 60.00
Fractional coordinates of all 4 atoms:
1 La 0.000 0.000 0.000
2 Cd 0.250 0.250 0.250
3 Cd 0.750 0.750 0.750
4 W 0.500 0.500 0.500

Summary:
SG = No. 225
DFT total energy = -4.33 eV/atom
ΔE to the lowest computed polymorph = 0.214 eV per atom

Record 2
LaCd2W | PBE-GGA | relaxed

abc: 6.298 6.298 6.298
angles: 148.91 134.01 56.55
Fractional coordinates of all 4 atoms:
1 La 0.000 0.000 0.000
2 Cd 0.282 0.782 0.500
3 Cd 0.718 0.218 0.500
4 W 0.500 0.500 0.000

Summary:
SG = No. 71
DFT total energy = -4.50 eV/atom
ΔE to the lowest computed polymorph = 0.045 eV per atom

Record 3
LaCdW2 | PBE-GGA | relaxed

abc: 6.429 6.429 6.429
angles: 100.65 100.65 129.08
Fractional coordinates of all 8 atoms:
1 La 0.000 0.000 0.000
2 La 0.750 0.250 0.500
3 Cd 0.250 0.750 0.500
4 Cd 0.500 0.500 0.000
5 W 0.162 0.625 0.037
6 W 0.375 0.412 0.537
7 W 0.588 0.125 0.963
8 W 0.875 0.838 0.463

Summary:
SG = No. 122
DFT total energy = -6.50 eV/atom

Number 1: ΔE_f 0.60 eV per atom. Number 2: ΔE_f 0.43 eV per atom. Number 3: ΔE_f 1.44 eV per atom.